No. 1
The following is a PBE calculation of a geometry-optimized LiTh2Al structure, from the Alexandria database.

```
LiTh2Al
1.0
4.2468 0.0000 0.0000
0.0000 4.8870 0.0000
0.0000 0.0000 4.8870
Al Th Li
1 2 1
Cartesian
2.1234 2.4435 2.4435
0.0000 0.0000 2.4435
0.0000 2.4435 0.0000
2.1234 0.0000 0.0000
```

M_tot in μB/f.u.: 0.000
Space-group type: P4/mmm, No. 123
Formation energy in meV per atom: -35

No. 2
The following is a PBE calculation of a geometry-optimized ScMn3Rh structure, from the Alexandria database.

```
ScMn3Rh
1.0
4.7432 0.0000 0.0000
0.0000 4.7432 0.0000
0.0000 0.0000 4.7432
Sc Mn Rh
1 3 1
Cartesian
2.3716 2.3716 2.3716
0.0000 2.3716 0.0000
2.3716 0.0000 0.0000
0.0000 0.0000 2.3716
0.0000 0.0000 0.0000
```

M_tot in μB/f.u.: 11.732
Space-group type: Pm-3m, No. 221
Formation energy in meV per atom: 695